# FeAsO4

A relaxed structure of FeAsO4 (PBE with a Hubbard U, the Alexandria database).

Lattice parameters (Å, degrees): 4.7672 4.9760 5.8803 90.00 90.00 90.00
With the nearest neighbours (Å) after each atom.
Atoms (fractional coordinates):
1 O 0.3332 0.6912 0.5000  1 As 1.70
2 O 0.8326 0.8301 0.7228  1 As 1.76
3 O 0.3326 0.1699 0.7772  1 As 1.76
4 O 0.3439 0.6707 0.0000  1 As 1.69
5 O 0.8439 0.3293 0.5000  1 As 1.69
6 O 0.3326 0.1699 0.2228  1 As 1.76
7 O 0.8332 0.3088 0.0000  1 As 1.70
8 O 0.8326 0.8301 0.2772  1 As 1.76
9 Fe 0.5483 0.0475 0.5000  6 O 1.99-2.17
10 Fe 0.0483 0.9525 0.0000  6 O 1.99-2.17
11 As 0.9812 0.6419 0.5000  4 O 1.69-1.76
12 As 0.4812 0.3581 0.0000  4 O 1.69-1.76

Results
Theoretical density (g cm⁻³): 4.64
DFT total energy (Ha/atom): -0.230
Space-group type: Pmn2_1